1.
Entry from the Alexandria database: crystalline MgCoNiMo at its relaxed geometry (PBE).

Summary:
Magnetization ... 1.123 μB/f.u.
Symmetry ... No. 216
Energy of formation from the pure elements ... 0.108 eV/atom

Cell: 4.2370 4.2370 4.2370 Å, 60.00 60.00 60.00°
With the nearest neighbours (Å) after each atom.
Element x y z (fractional)
Ni  0.0000  0.0000  0.0000  4 Mo 2.59, 4 Mg 2.59
Mg  0.2500  0.2500  0.2500  4 Co 2.59, 4 Ni 2.59
Mo  0.7500  0.7500  0.7500  4 Co 2.59, 4 Ni 2.59
Co  0.5000  0.5000  0.5000  4 Mo 2.59, 4 Mg 2.59

=====

2.
Entry from the Alexandria database: crystalline NaPdSO6 at its relaxed geometry (PBE).

Summary:
Magnetization ... 0.981 μB/f.u.
Symmetry ... No. 149
Uncorrected energy ... -0.387 Ry/atom

Cell: 4.9175 4.9175 5.1678 Å, 90.00 90.00 60.00°
With the nearest neighbours (Å) after each atom.
Element x y z (fractional)
O  0.3463  0.6020  0.3102  1 S 1.67
O  0.0516  0.3463  0.3102  1 S 1.67
O  0.0516  0.6021  0.6898  1 S 1.67
O  0.6020  0.0516  0.3102  1 S 1.67
O  0.3463  0.0516  0.6898  1 S 1.67
O  0.6020  0.3464  0.6898  1 S 1.67
S  0.3333  0.3333  0.5000  6 O 1.67
Na  0.0000  0.0000  0.0000  6 O 2.44
Pd  0.6666  0.6667  0.5000  6 O 2.01

=====

3.
Entry from the Alexandria database: crystalline TlReSe at its relaxed geometry (PBE).

Summary:
Magnetization ... 0.000 μB/f.u.
Symmetry ... No. 2
Energy above the most stable polymorph in this dataset ... 293 meV per atom

Cell: 4.6257 5.3881 6.5943 Å, 80.23 69.60 64.61°
With the nearest neighbours (Å) after each atom.
Element x y z (fractional)
Re  0.3516  0.1833  0.6135  1 Re 2.30, 2 Se 2.52
Re  0.6484  0.8167  0.3865  1 Re 2.30, 2 Se 2.52
Se  0.7350  0.3849  0.6456  3 Re 2.52-2.61
Se  0.2650  0.6151  0.3544  3 Re 2.52-2.61
Tl  0.9020  0.8163  0.8774  3 Se 3.09-3.45, 3 Re 3.15-3.33, 3 Tl 3.31-3.40
Tl  0.0980  0.1837  0.1226  3 Se 3.09-3.45, 3 Re 3.15-3.33, 3 Tl 3.31-3.40

=====

4.
Entry from the Alexandria database: crystalline Ac2LaPm5Ho at its relaxed geometry (PBE).

Summary:
Magnetization ... 0.001 μB/f.u.
Symmetry ... No. 36
Energy of formation from the pure elements ... 0.139 eV/atom

Cell: 5.8688 10.6817 11.0147 Å, 90.00 90.00 105.94°
With the nearest neighbours (Å) after each atom.
Element x y z (fractional)
Pm  0.5158  0.0315  0.2416  2 La 3.22-3.39
Pm  0.2823  0.5647  0.3133  1 La 3.16, 1 Ac 3.41
Pm  0.9810  0.9621  0.5230  2 La 3.31, 2 Ac 3.56-3.58
Pm  0.7177  0.4353  0.8133  1 La 3.16, 1 Ac 3.41
Pm  0.7042  0.4085  0.2059  4 Pm 3.55-3.92, 1 La 3.61, 3 Ho 3.64-3.82, 3 Ac 3.66-3.73
Pm  0.6138  0.2275  0.5192  6 Pm 3.62-4.01, 4 Ac 3.68-3.74, 1 Ho 3.70
Pm  0.3862  0.7725  0.0192  6 Pm 3.62-4.01, 4 Ac 3.68-3.74, 1 Ho 3.70
Pm  0.2958  0.5915  0.7059  4 Pm 3.55-3.92, 1 La 3.61, 3 Ho 3.64-3.82, 3 Ac 3.66-3.73
Pm  0.4842  0.9685  0.7416  2 La 3.22-3.39
Pm  0.0190  0.0379  0.0230  2 La 3.31, 2 Ac 3.56-3.58
La  0.5865  0.1730  0.9632  5 Pm 3.16-3.39
La  0.4135  0.8270  0.4632  5 Pm 3.16-3.39
Ho  0.7938  0.5875  0.5098  2 Ac 3.62-3.87, 8 Pm 3.64-3.85, 2 La 3.86
Ho  0.2062  0.4125  0.0098  2 Ac 3.62-3.87, 8 Pm 3.64-3.85, 2 La 3.86
Ac  0.1145  0.2290  0.7297  9 Pm 3.56-3.97, 1 Ho 3.62, 2 La 3.94
Ac  0.8837  0.7674  0.8183  9 Pm 3.41-3.82
Ac  0.1163  0.2326  0.3183  9 Pm 3.41-3.82
Ac  0.8855  0.7710  0.2297  9 Pm 3.56-3.97, 1 Ho 3.62, 2 La 3.94

=====

5.
Entry from the Alexandria database: crystalline Nb2Co4Rh at its relaxed geometry (PBE).

Summary:
Magnetization ... 0.000 μB/f.u.
Symmetry ... No. 64
Energy of formation from the pure elements ... 0.074 eV/atom

Cell: 8.8443 4.9274 4.9526 Å, 119.83 90.00 90.00°
With the nearest neighbours (Å) after each atom.
Element x y z (fractional)
Co  0.2500  0.9142  0.5000  6 Co 2.38-2.61, 2 Nb 2.47
Co  0.2285  0.3662  0.0000  6 Co 2.38-2.61, 1 Rh 2.49, 2 Nb 2.55
Co  0.7715  0.6338  0.0000  6 Co 2.38-2.61, 1 Rh 2.49, 2 Nb 2.55
Co  0.7285  0.1338  0.0000  6 Co 2.38-2.61, 1 Rh 2.49, 2 Nb 2.55
Co  0.2715  0.8662  0.0000  6 Co 2.38-2.61, 1 Rh 2.49, 2 Nb 2.55
Co  0.7500  0.0858  0.5000  6 Co 2.38-2.61, 2 Nb 2.47
Co  0.7500  0.5858  0.5000  6 Co 2.38-2.61, 2 Nb 2.47
Co  0.2500  0.4142  0.5000  6 Co 2.38-2.61, 2 Nb 2.47
Nb  0.0000  0.6637  0.3275  4 Co 2.47-2.55
Nb  0.5000  0.8363  0.6725  4 Co 2.47-2.55
Nb  0.0000  0.3363  0.6725  4 Co 2.47-2.55
Nb  0.5000  0.1637  0.3275  4 Co 2.47-2.55
Rh  0.5000  0.5000  0.0000  4 Co 2.49-2.71
Rh  0.0000  0.0000  0.0000  4 Co 2.49-2.71

=====

6.
Entry from the Alexandria database: crystalline Ac4SiSbBr2 at its relaxed geometry (PBE).

Summary:
Magnetization ... 0.000 μB/f.u.
Symmetry ... No. 10
Uncorrected energy ... -0.354 Ry/atom

Cell: 4.6435 7.8473 8.2565 Å, 70.28 90.00 90.00°
With the nearest neighbours (Å) after each atom.
Element x y z (fractional)
Br  0.5000  0.0000  0.5000  6 Ac 3.29
Br  0.0000  0.0000  0.0000  6 Ac 3.47-3.52
Ac  0.5000  0.2780  0.7223  2 Si 3.10, 3 Br 3.29-3.47, 1 Sb 3.31
Ac  0.5000  0.7220  0.2777  2 Si 3.10, 3 Br 3.29-3.47, 1 Sb 3.31
Ac  0.0000  0.7318  0.7342  1 Si 3.07, 2 Br 3.29, 2 Sb 3.29
Ac  0.0000  0.2682  0.2658  1 Si 3.07, 2 Br 3.29, 2 Sb 3.29
Si  0.0000  0.5000  0.5000  6 Ac 3.07-3.10
Sb  0.5000  0.5000  0.0000  6 Ac 3.29-3.31

=====

7.
Entry from the Alexandria database: crystalline PuScSnRu at its relaxed geometry (PBE).

Summary:
Magnetization ... 4.939 μB/f.u.
Symmetry ... No. 216
Energy of formation from the pure elements ... -0.213 eV/atom

Cell: 4.9408 4.9408 4.9408 Å, 60.00 60.00 60.00°
With the nearest neighbours (Å) after each atom.
Element x y z (fractional)
Ru  0.2500  0.2500  0.2500  4 Sc 3.03, 4 Pu 3.03
Sn  0.7500  0.7500  0.7500  4 Pu 3.03, 4 Sc 3.03
Pu  0.0000  0.0000  0.0000  4 Sn 3.03, 4 Ru 3.03
Sc  0.5000  0.5000  0.5000  4 Ru 3.03, 4 Sn 3.03

=====

8.
Entry from the Alexandria database: crystalline Dy6Y2Mg at its relaxed geometry (PBE).

Summary:
Magnetization ... 0.000 μB/f.u.
Symmetry ... No. 136
Energy above the most stable polymorph in this dataset ... 0 meV per atom
Energy of formation from the pure elements ... 0.025 eV/atom

Cell: 5.0065 10.5290 10.5341 Å, 90.01 89.99 90.00°
With the nearest neighbours (Å) after each atom.
Element x y z (fractional)
Y  0.9998  0.3365  0.8365  2 Mg 3.49, 10 Dy 3.50-3.54
Y  0.0002  0.6635  0.1635  2 Mg 3.49, 10 Dy 3.50-3.54
Y  0.4998  0.1636  0.3365  2 Mg 3.49, 10 Dy 3.50-3.54
Y  0.5002  0.8364  0.6635  2 Mg 3.49, 10 Dy 3.50-3.54
Dy  0.0001  0.6686  0.8314  4 Y 3.50-3.54, 6 Dy 3.51-3.52, 2 Mg 3.55
Dy  0.9999  0.3349  0.5016  8 Dy 3.48-3.52, 1 Mg 3.53, 3 Y 3.53-3.54
Dy  0.0001  0.0017  0.8348  8 Dy 3.48-3.53, 3 Y 3.53-3.54, 1 Mg 3.53
Dy  0.4999  0.5017  0.6652  8 Dy 3.48-3.52, 3 Y 3.52-3.54, 1 Mg 3.53
Dy  0.4999  0.1687  0.6686  4 Y 3.50-3.54, 6 Dy 3.51-3.53, 2 Mg 3.55
Dy  0.5001  0.8313  0.3314  4 Y 3.50-3.54, 6 Dy 3.51-3.53, 2 Mg 3.55
Dy  0.4999  0.1652  0.0017  8 Dy 3.48-3.52, 1 Mg 3.52, 3 Y 3.53-3.54
Dy  0.5001  0.8348  0.9983  8 Dy 3.48-3.52, 1 Mg 3.52, 3 Y 3.53-3.54
Dy  0.0001  0.6651  0.4984  8 Dy 3.48-3.52, 1 Mg 3.53, 3 Y 3.53-3.54
Dy  0.9999  0.3314  0.1686  4 Y 3.50-3.54, 6 Dy 3.51-3.52, 2 Mg 3.55
Dy  0.9999  0.9983  0.1652  8 Dy 3.48-3.53, 3 Y 3.53-3.54, 1 Mg 3.53
Dy  0.5001  0.4983  0.3348  8 Dy 3.48-3.52, 3 Y 3.52-3.54, 1 Mg 3.53
Mg  0.0000  0.0000  0.5000  4 Y 3.49, 8 Dy 3.53-3.55
Mg  0.5000  0.5000  0.0000  4 Y 3.49, 8 Dy 3.52-3.55

=====

9.
Entry from the Alexandria database: crystalline BaLaSm2Tl4 at its relaxed geometry (PBE).

Summary:
Magnetization ... 0.000 μB/f.u.
Symmetry ... No. 166
Energy of formation from the pure elements ... -0.334 eV/atom

Cell: 5.6550 5.6550 9.8279 Å, 73.28 73.28 60.00°
With the nearest neighbours (Å) after each atom.
Element x y z (fractional)
Tl  0.8720  0.8720  0.3841  4 Sm 3.41-3.50, 3 La 3.44, 1 Ba 3.56
Tl  0.1280  0.1280  0.6159  4 Sm 3.41-3.50, 3 La 3.44, 1 Ba 3.56
Tl  0.6204  0.6204  0.1389  1 La 3.35, 4 Sm 3.42-3.58, 3 Ba 3.51
Tl  0.3796  0.3796  0.8611  1 La 3.35, 4 Sm 3.42-3.58, 3 Ba 3.51
Ba  0.0000  0.0000  0.0000  8 Tl 3.51-3.56
Sm  0.2508  0.2508  0.2477  8 Tl 3.41-3.58
Sm  0.7492  0.7492  0.7523  8 Tl 3.41-3.58
La  0.5000  0.5000  0.5000  8 Tl 3.35-3.44

=====

10.
Entry from the Alexandria database: crystalline Rb2LiVH6 at its relaxed geometry (PBE).

Summary:
Magnetization ... 2.000 μB/f.u.
Symmetry ... No. 59
Uncorrected energy ... -0.250 Ry/atom

Cell: 5.8193 5.8196 8.2120 Å, 90.00 90.00 90.00°
With the nearest neighbours (Å) after each atom.
Element x y z (fractional)
Li  0.5000  0.2567  0.0000  6 H 2.23-2.31
Li  0.0000  0.7433  0.5000  6 H 2.23-2.31
H  0.0000  0.7482  0.2245  1 V 1.84
H  0.2748  0.4757  0.5000  1 V 1.85
H  0.2252  0.5243  0.0000  1 V 1.85
H  0.7252  0.4757  0.5000  1 V 1.85
H  0.2772  0.0277  0.5000  1 V 1.84
H  0.2228  0.9723  0.0000  1 V 1.84
H  0.7748  0.5243  0.0000  1 V 1.85
H  0.0000  0.7482  0.7755  1 V 1.84
H  0.5000  0.2518  0.2755  1 V 1.84
H  0.7772  0.9723  0.0000  1 V 1.84
H  0.5000  0.2518  0.7245  1 V 1.84
H  0.7228  0.0277  0.5000  1 V 1.84
Rb  0.5000  0.7519  0.7500  12 H 2.91-2.92
Rb  0.5000  0.7519  0.2500  12 H 2.91-2.92
Rb  0.0000  0.2481  0.7500  12 H 2.91-2.92
Rb  0.0000  0.2481  0.2500  12 H 2.91-2.92
V  0.5000  0.2521  0.5000  6 H 1.84-1.85
V  0.0000  0.7479  0.0000  6 H 1.84-1.85

=====

11.
Entry from the Alexandria database: crystalline NaTbInPd at its relaxed geometry (PBE).

Summary:
Magnetization ... 0.000 μB/f.u.
Symmetry ... No. 216
Energy of formation from the pure elements ... -0.391 eV/atom

Cell: 4.9527 4.9527 4.9527 Å, 60.00 60.00 60.00°
With the nearest neighbours (Å) after each atom.
Element x y z (fractional)
Tb  0.7500  0.7500  0.7500  4 Na 3.03, 4 Pd 3.03
Na  0.0000  0.0000  0.0000  4 Tb 3.03, 4 In 3.03
In  0.2500  0.2500  0.2500  4 Pd 3.03, 4 Na 3.03
Pd  0.5000  0.5000  0.5000  4 In 3.03, 4 Tb 3.03

=====

12.
Entry from the Alexandria database: crystalline Ca7N5 at its relaxed geometry (PBE).

Summary:
Magnetization ... 0.338 μB/f.u.
Symmetry ... No. 12
Uncorrected energy ... -0.390 Ry/atom

Cell: 3.4425 6.1499 10.6831 Å, 71.46 80.73 73.75°
With the nearest neighbours (Å) after each atom.
Element x y z (fractional)
Ca  0.3477  0.2492  0.0555  4 N 2.44-2.61
Ca  0.2624  0.1110  0.3641  3 N 2.45
Ca  0.0468  0.6932  0.2132  4 N 2.41-2.46
Ca  0.7376  0.8890  0.6359  3 N 2.45
Ca  0.9532  0.3068  0.7868  4 N 2.41-2.46
Ca  0.6523  0.7508  0.9445  4 N 2.44-2.61
Ca  0.5000  0.5000  0.5000  4 N 2.45
N  0.3058  0.5779  0.8105  4 Ca 2.41-2.61
N  0.6942  0.4221  0.1895  4 Ca 2.41-2.61
N  0.8877  0.8029  0.4217  6 Ca 2.45-2.46
N  0.1123  0.1971  0.5783  6 Ca 2.45-2.46
N  0.0000  0.0000  0.0000  6 Ca 2.44-2.45